Version one
Entry from Alexandria: a relaxed Cu3Cl crystal (PBE).

abc: 4.935 4.935 4.935
angles: 116.46 116.46 116.46
Element x y z (fractional)
1 Cu 0.500 0.000 0.500
2 Cu 0.500 0.500 0.000
3 Cu 0.000 0.500 0.500
4 Cl 0.000 0.000 0.000

Results
crystal system	trigonal

=====

Version two
Entry from Alexandria: a relaxed Cu3Cl crystal (PBE).

abc: 5.265 5.265 5.265
angles: 140.77 140.77 56.69
Element x y z (fractional)
1 Cu 0.250 0.750 0.500
2 Cu 0.500 0.500 0.000
3 Cu 0.750 0.250 0.500
4 Cl 0.000 0.000 0.000

Results
crystal system	tetragonal

=====

Energies relative to the most stable structure, in eV/atom: version one 0.040; version two 0.000.

=====

Version one
Entry from Alexandria: a relaxed Cu3Cl crystal (PBE).

abc: 3.033 3.033 7.329
angles: 90.00 90.00 120.00
Element x y z (fractional)
1 Cu 0.000 0.000 0.500
2 Cu 0.667 0.333 0.255
3 Cu 0.667 0.333 0.745
4 Cl 0.000 0.000 0.000

Results
crystal system	hexagonal

=====

Version two
Entry from Alexandria: a relaxed Cu3Cl crystal (PBE).

abc: 3.489 3.356 5.323
angles: 90.00 90.00 90.00
Element x y z (fractional)
1 Cu 0.500 0.000 0.418
2 Cu 0.500 0.500 0.767
3 Cu 0.000 0.500 0.446
4 Cl 0.000 0.000 0.036

Results
crystal system	orthorhombic

=====

Energies relative to the most stable structure, in eV/atom: version one 0.029; version two 0.000.

=====

Version one
Entry from Alexandria: a relaxed Cu2Cl crystal (PBE).

abc: 4.486 4.486 5.260
angles: 90.00 90.00 120.00
Element x y z (fractional)
1 Cu 0.000 0.000 0.000
2 Cu 0.000 0.000 0.500
3 Cu 0.333 0.667 0.250
4 Cu 0.667 0.333 0.750
5 Cl 0.667 0.333 0.250
6 Cl 0.333 0.667 0.750

Results
crystal system	hexagonal

=====

Version two
Entry from Alexandria: a relaxed Cu2Cl crystal (PBE).

abc: 8.200 8.200 3.735
angles: 84.03 84.03 25.23
Element x y z (fractional)
1 Cu 0.443 0.443 0.277
2 Cu 0.056 0.056 0.243
3 Cu 0.944 0.944 0.757
4 Cu 0.557 0.557 0.723
5 Cl 0.840 0.840 0.229
6 Cl 0.160 0.160 0.771

Results
crystal system	monoclinic

=====

Version three
Entry from Alexandria: a relaxed Cu2Cl crystal (PBE).

abc: 3.143 3.143 5.351
angles: 90.00 90.00 120.00
Element x y z (fractional)
1 Cu 0.333 0.667 0.660
2 Cu 0.667 0.333 0.340
3 Cl 0.000 0.000 0.000

Results
crystal system	trigonal

=====

Energies relative to the most stable structure, in eV/atom: version one 0.632; version two 0.000; version three 0.301.